{"formula": "K2NaCrO", "functional": "GGA+U", "state": "relaxed", "m_tot_mub_per_cell": 5.78, "crystal_system": "tetragonal", "dft_energy_ha_per_atom": -0.0943, "cell": [[6.4156, 0.0000, 0.0000], [0.0000, 5.6562, 0.0000], [0.0000, 0.0000, 6.4156]], "species": ["Cr", "K", "K", "O", "Na"], "frac_coords": [[0.0000, 0.0000, 0.0000], [0.0000, 0.0000, 0.5000], [0.5000, 0.0000, 0.0000], [0.5000, 0.5000, 0.5000], [0.0000, 0.5000, 0.0000]]}